[1]
Computed, not measured: a PBEsol-optimized structure of CoPt3 at the meta-GGA SCAN level of DFT.

Cell lengths 2.7100, 2.7100, 26.5159 Å; angles 90.00, 90.00, 120.00 degrees
Last column: nearest neighbours and their distance in Å.
Space group R-3m (No. 166, hexagonal axes)
Symmetry-distinct sites (fractional):
Co (0.0000, 0.0000, 0.0000) [3 per cell]  6 Pt 2.58, 6 Co 2.71
Pt (0.0000, 0.0000, 0.2560) [6 per cell]  3 Co 2.58, 9 Pt 2.71-2.84
Pt (0.0000, 0.0000, 0.5000) [3 per cell]  12 Pt 2.71-2.84

Computed properties:
- E_form (eV/atom) = -0.0777

---

[2]
Computed, not measured: a PBEsol-optimized structure of CoPt2 at the meta-GGA SCAN level of DFT.

Cell lengths 9.9702, 2.7009, 6.3563 Å; angles 90.00, 105.19, 90.00 degrees
Last column: nearest neighbours and their distance in Å.
Space group Cm (No. 8)
Symmetry-distinct sites (fractional):
Co (0.0000, 0.0000, 0.0000) [2 per cell]  8 Pt 2.60-2.82, 4 Co 2.60-2.70
Co (0.1613, 0.5000, 0.3173) [2 per cell]  8 Pt 2.55-2.78, 4 Co 2.60-2.70
Pt (0.0572, 0.0000, 0.5934) [2 per cell]  3 Co 2.63-2.79, 9 Pt 2.69-2.73
Pt (0.2103, 0.5000, 0.9429) [2 per cell]  4 Co 2.55-2.82, 8 Pt 2.68-2.76
Pt (0.3349, 0.0000, 0.6651) [2 per cell]  8 Pt 2.69-2.76, 4 Co 2.69-2.78
Pt (0.3878, 0.0000, 0.2621) [2 per cell]  5 Co 2.61-2.73, 7 Pt 2.68-2.75

Computed properties:
- E_form (eV/atom) = -0.0638

---

[3]
Computed, not measured: a PBEsol-optimized structure of CoPt3 at the meta-GGA SCAN level of DFT.

Cell lengths 2.7060, 3.8026, 5.4524 Å; angles 90.00, 90.00, 90.00 degrees
Last column: nearest neighbours and their distance in Å.
Space group Pmmm (No. 47)
Symmetry-distinct sites (fractional):
Co (0.0000, 0.0000, 0.0000) [1 per cell]  10 Pt 2.67-2.73, 2 Co 2.71
Pt (0.0000, 0.0000, 0.5000) [1 per cell]  10 Pt 2.71-2.73, 2 Co 2.73
Pt (0.5000, 0.5000, 0.2390) [2 per cell]  8 Pt 2.61-2.85, 4 Co 2.67

Computed properties:
- E_form (eV/atom) = -0.0853

---

[4]
Computed, not measured: a PBEsol-optimized structure of CoRe2Pt at the meta-GGA SCAN level of DFT.

Cell lengths 2.6502, 3.7955, 5.3957 Å; angles 90.00, 90.00, 90.00 degrees
Last column: nearest neighbours and their distance in Å.
Space group Pmm2 (No. 25)
Symmetry-distinct sites (fractional):
Co (0.0000, 0.0000, 0.0000) [1 per cell]  6 Re 2.60-2.79, 2 Co 2.65, 4 Pt 2.69
Re (0.0000, 0.0000, 0.5175) [1 per cell]  2 Co 2.60-2.79, 6 Re 2.65-2.71, 4 Pt 2.72
Re (0.5000, 0.5000, 0.7775) [1 per cell]  2 Pt 2.57-2.83, 4 Co 2.61, 6 Re 2.65-2.71
Pt (0.5000, 0.5000, 0.2537) [1 per cell]  6 Re 2.57-2.83, 2 Pt 2.65, 4 Co 2.69

Computed properties:
- polymorph energy (0 for the lowest one) (eV/atom) = 0.0000
- E_form (eV/atom) = 0.0119

---

[5]
Computed, not measured: a PBEsol-optimized structure of CoRePt at the meta-GGA SCAN level of DFT.

Cell lengths 2.6808, 2.6808, 11.0252 Å; angles 90.00, 90.00, 90.00 degrees
Last column: nearest neighbours and their distance in Å.
Space group I4mm (No. 107)
Symmetry-distinct sites (fractional):
Co (0.0000, 0.0000, 0.0000) [2 per cell]  4 Re 2.49, 4 Co 2.68, 4 Pt 2.69
Re (0.0000, 0.0000, 0.3533) [2 per cell]  4 Co 2.49, 4 Re 2.68, 4 Pt 2.75
Pt (0.0000, 0.0000, 0.6727) [2 per cell]  4 Pt 2.68, 4 Co 2.69, 4 Re 2.75

Computed properties:
- polymorph energy (0 for the lowest one) (eV/atom) = 0.0000
- E_form (eV/atom) = -0.0340

---

[6]
Computed, not measured: a PBEsol-optimized structure of CoRePt at the meta-GGA SCAN level of DFT.

Cell lengths 2.6590, 3.7020, 7.9952 Å; angles 90.00, 90.00, 90.00 degrees
Last column: nearest neighbours and their distance in Å.
Space group Imm2 (No. 44)
Symmetry-distinct sites (fractional):
Co (0.0000, 0.0000, 0.0000) [2 per cell]  5 Re 2.57-2.82, 5 Pt 2.60-2.67, 2 Co 2.66
Re (0.0000, 0.0000, 0.3521) [2 per cell]  5 Co 2.57-2.82, 5 Pt 2.58-2.69, 2 Re 2.66
Pt (0.0000, 0.0000, 0.6742) [2 per cell]  5 Re 2.58-2.69, 5 Co 2.60-2.67, 2 Pt 2.66

Computed properties:
- polymorph energy (0 for the lowest one) (eV/atom) = 0.0089
- E_form (eV/atom) = -0.0252

---

[7]
Computed, not measured: a PBEsol-optimized structure of CoRePt at the meta-GGA SCAN level of DFT.

Cell lengths 2.6868, 2.6868, 6.4486 Å; angles 90.00, 90.00, 120.00 degrees
Last column: nearest neighbours and their distance in Å.
Space group P3m1 (No. 156)
Symmetry-distinct sites (fractional):
Co (0.0000, 0.0000, 0.0000) [1 per cell]  3 Re 2.51, 3 Pt 2.66, 6 Co 2.69
Re (0.6667, 0.3333, 0.3066) [1 per cell]  3 Co 2.51, 6 Re 2.69, 3 Pt 2.79
Pt (0.3333, 0.6667, 0.6655) [1 per cell]  3 Co 2.66, 6 Pt 2.69, 3 Re 2.79

Computed properties:
- polymorph energy (0 for the lowest one) (eV/atom) = 0.0992
- E_form (eV/atom) = 0.0652

---

[8]
Computed, not measured: a PBEsol-optimized structure of CoRePt2 at the meta-GGA SCAN level of DFT.

Cell lengths 2.6995, 2.6995, 26.2701 Å; angles 90.00, 90.00, 120.00 degrees
Last column: nearest neighbours and their distance in Å.
Space group R3m (No. 160, hexagonal axes)
Symmetry-distinct sites (fractional):
Co (0.0000, 0.0000, 0.0000) [3 per cell]  3 Re 2.52, 3 Pt 2.63, 6 Co 2.70
Re (0.0000, 0.0000, 0.7423) [3 per cell]  3 Co 2.52, 6 Re 2.70, 3 Pt 2.75
Pt (0.0000, 0.0000, 0.2528) [3 per cell]  3 Co 2.63, 9 Pt 2.70-2.85
Pt (0.0000, 0.0000, 0.4951) [3 per cell]  9 Pt 2.70-2.85, 3 Re 2.75

Computed properties:
- polymorph energy (0 for the lowest one) (eV/atom) = 0.1104
- E_form (eV/atom) = 0.0022

---

| no. | VASP energy (eV per atom) | magnetic moment (μB/f.u.) |
| --- | --- | --- |
| 1 | -57.0486 | 2.84 |
| 2 | -52.6273 | 2.74 |
| 3 | -57.0562 | 3.16 |
| 4 | -57.4112 | 1.18 |
| 5 | -52.8990 | 1.20 |
| 6 | -52.8901 | 0.50 |
| 7 | -52.7998 | 1.63 |
| 8 | -57.1948 | 1.68 |